This record from Alexandria via LeMat-Bulk describes a relaxed structure of Pm8GaGe5. The functional is PBE.

Summary:
Spin magnetization in μB/atom: 0.0000
Final energy in eV per atom: -5.338
ρ in g/cm³: 6.99
ΔE_f in eV per atom: -0.758

```
data_Pm8GaGe5
_chemical_formula_sum 'Pm16 Ga2 Ge10'
_space_group_name_H-M_alt 'I -4'
_space_group_IT_number 82
_space_group_name_Hall 'I -4'
_cell_length_a 9.110
_cell_length_b 9.110
_cell_length_c 9.116
_cell_angle_alpha 90.00
_cell_angle_beta 90.00
_cell_angle_gamma 90.00
loop_
_atom_site_label
_atom_site_type_symbol
_atom_site_fract_x
_atom_site_fract_y
_atom_site_fract_z
_atom_site_occupancy
Pm1 Pm 0.065 0.320 0.058 1
Pm2 Pm 0.069 0.186 0.689 1
Ga1 Ga 0.000 0.000 0.000 1
Ge1 Ge 0.000 0.500 0.750 1
Ge2 Ge 0.126 0.249 0.373 1
```